Entry 1:
# KCd2Pb8 PBE relaxed
# formation energy from the elements	1.67	eV/f.u.
# ρ	7.32	g/cm³
# calculated volume	435.8	Å³/f.u.
data_KCd2Pb8
_cell_length_a 6.687
_cell_length_b 6.687
_cell_length_c 9.746
_cell_angle_alpha 90.00
_cell_angle_beta 90.00
_cell_angle_gamma 90.00
_space_group_name_H-M_alt 'P 4/m m m'
_space_group_IT_number 123
_space_group_name_Hall '-P 4 2'
loop_
_atom_site_label
_atom_site_fract_x
_atom_site_fract_y
_atom_site_fract_z
K1 0.000 0.000 0.000
Cd1 0.000 0.500 0.500
Pb1 0.253 0.253 0.296

Entry 2:
# Nd2TmSi3Pt4 PBE relaxed
# ρ	11.17	g/cm³
# E_form (uncorrected)	-1.074	eV/atom
# calculated volume	196.6	Å³/f.u.
data_Nd2TmSi3Pt4
_cell_length_a 4.274
_cell_length_b 4.274
_cell_length_c 10.762
_cell_angle_alpha 90.00
_cell_angle_beta 90.00
_cell_angle_gamma 90.00
_space_group_name_H-M_alt 'P -4 m 2'
_space_group_IT_number 115
loop_
_space_group_symop_operation_xyz
'x,y,z'
'y,-x,-z'
'-x,-y,z'
'-y,x,-z'
'-x,y,z'
'-y,-x,-z'
'x,-y,z'
'y,x,-z'
loop_
_atom_site_label
_atom_site_fract_x
_atom_site_fract_y
_atom_site_fract_z
Nd1 0.000 0.500 0.229
Tm1 0.000 0.000 0.500
Si1 0.000 0.500 0.880
Si2 0.500 0.500 0.500
Pt1 0.000 0.000 0.000
Pt2 0.000 0.500 0.657
Pt3 0.500 0.500 0.000

Entry 3:
# K3Zr PBE relaxed
# formation energy from the elements	3.26	eV/f.u.
# ρ	1.85	g/cm³
# polymorph energy (0 for the lowest one)	0.2553	eV per atom
# calculated volume	187.0	Å³/f.u.
data_K3Zr
_cell_length_a 13.6852
_cell_length_b 13.6852
_cell_length_c 3.4593
_cell_angle_alpha 90.00
_cell_angle_beta 90.00
_cell_angle_gamma 120.00
_space_group_name_H-M_alt 'R -3 m'
_space_group_IT_number 166
_space_group_name_Hall '-R 3 2"'
loop_
_atom_site_label
_atom_site_fract_x
_atom_site_fract_y
_atom_site_fract_z
K1 0.0000 0.5000 0.0000
Zr1 0.0000 0.0000 0.0000

Entry 4:
# TbCdPt PBE relaxed
# formation energy from the elements	-2.56	eV/f.u.
# ρ	11.56	g/cm³
# calculated volume	67.0	Å³/f.u.
data_TbCdPt
_cell_length_a 13.208
_cell_length_b 3.929
_cell_length_c 7.745
_cell_angle_alpha 90.00
_cell_angle_beta 90.00
_cell_angle_gamma 90.00
_space_group_name_H-M_alt 'P m m a'
_space_group_IT_number 51
loop_
_space_group_symop_operation_xyz
'x,y,z'
'-x,-y,-z'
'-x+1/2,-y,z'
'x+1/2,y,-z'
'x+1/2,-y,-z'
'-x+1/2,y,z'
'-x,y,-z'
'x,-y,z'
loop_
_atom_site_label
_atom_site_fract_x
_atom_site_fract_y
_atom_site_fract_z
Tb1 0.050 0.000 0.221
Tb2 0.250 0.000 0.822
Cd1 0.111 0.500 0.558
Cd2 0.250 0.500 0.183
Pt1 0.097 0.500 0.927
Pt2 0.250 0.000 0.437

Entry 5:
# Pm8Sn PBE relaxed
# formation energy from the elements	-1.21	eV/f.u.
# ρ	7.20	g/cm³
# calculated volume	295.0	Å³/f.u.
data_Pm8Sn
_cell_length_a 10.964
_cell_length_b 10.964
_cell_length_c 4.908
_cell_angle_alpha 90.00
_cell_angle_beta 90.00
_cell_angle_gamma 90.00
_space_group_name_H-M_alt 'I 4/m m m'
_space_group_IT_number 139
_space_group_name_Hall '-I 4 2'
loop_
_atom_site_label
_atom_site_fract_x
_atom_site_fract_y
_atom_site_fract_z
Pm1 0.000 0.334 0.000
Pm2 0.158 0.158 0.500
Sn1 0.000 0.000 0.000

Entry 6:
# Cr2RhCl PBE relaxed
# ρ	6.59	g/cm³
# E_form (uncorrected)	0.656	eV/atom
# polymorph energy (0 for the lowest one)	0.5544	eV per atom
# calculated volume	61.1	Å³/f.u.
data_Cr2RhCl
_cell_length_a 6.251
_cell_length_b 6.251
_cell_length_c 6.251
_cell_angle_alpha 90.00
_cell_angle_beta 90.00
_cell_angle_gamma 90.00
_space_group_name_H-M_alt 'F -4 3 m'
_space_group_IT_number 216
_space_group_name_Hall 'F -4 2 3'
loop_
_atom_site_label
_atom_site_fract_x
_atom_site_fract_y
_atom_site_fract_z
Cr1 0.000 0.000 0.000
Cr2 0.250 0.250 0.250
Rh1 0.000 0.000 0.500
Cl1 0.250 0.250 0.750

Entry 7:
# Rb3Cu2IBr6 PBE relaxed
# ρ	3.06	g/cm³
# E_form (uncorrected)	-0.837	eV/atom
# calculated volume	536.8	Å³/f.u.
data_Rb3Cu2IBr6
_cell_length_a 9.2064
_cell_length_b 9.2064
_cell_length_c 7.3132
_cell_angle_alpha 90.00
_cell_angle_beta 90.00
_cell_angle_gamma 120.00
_space_group_name_H-M_alt 'P -3 m 1'
_space_group_IT_number 164
_space_group_name_Hall '-P 3 2"'
loop_
_atom_site_label
_atom_site_fract_x
_atom_site_fract_y
_atom_site_fract_z
Rb1 0.0000 0.0000 0.0000
Rb2 0.3333 0.6667 0.6822
Cu1 0.3333 0.6667 0.2123
I1 0.0000 0.0000 0.5000
Br1 0.1890 0.3780 0.2494

Entry 8:
# Ba2NCl PBE relaxed
# ρ	4.11	g/cm³
# E_form (uncorrected)	-1.203	eV/atom
# calculated volume	131.0	Å³/f.u.
data_Ba2NCl
_cell_length_a 7.468
_cell_length_b 7.468
_cell_length_c 9.391
_cell_angle_alpha 90.00
_cell_angle_beta 90.00
_cell_angle_gamma 90.00
_space_group_name_H-M_alt 'I -4 2 d'
_space_group_IT_number 122
_space_group_name_Hall 'I -4 2bw'
loop_
_atom_site_label
_atom_site_fract_x
_atom_site_fract_y
_atom_site_fract_z
Ba1 0.182 0.250 0.125
N1 0.000 0.000 0.000
Cl1 0.000 0.000 0.500

Entry 9:
# LaSmPbO2 PBE relaxed
# ρ	7.50	g/cm³
# E_form (uncorrected)	-2.508	eV/atom
# calculated volume	117.0	Å³/f.u.
data_LaSmPbO2
_cell_length_a 3.994
_cell_length_b 3.994
_cell_length_c 14.671
_cell_angle_alpha 90.00
_cell_angle_beta 90.00
_cell_angle_gamma 90.00
_space_group_name_H-M_alt 'I 4 m m'
_space_group_IT_number 107
_space_group_name_Hall 'I 4 -2'
loop_
_atom_site_label
_atom_site_fract_x
_atom_site_fract_y
_atom_site_fract_z
La1 0.000 0.000 0.000
Sm1 0.000 0.000 0.663
Pb1 0.000 0.000 0.330
O1 0.000 0.500 0.085

Entry 10:
# ScCoAgPt2 PBE relaxed
# formation energy from the elements	1.23	eV/f.u.
# ρ	10.44	g/cm³
# calculated volume	95.8	Å³/f.u.
data_ScCoAgPt2
_cell_length_a 4.662
_cell_length_b 4.662
_cell_length_c 4.407
_cell_angle_alpha 90.00
_cell_angle_beta 90.00
_cell_angle_gamma 90.00
_space_group_name_H-M_alt 'P 4/m m m'
_space_group_IT_number 123
_space_group_name_Hall '-P 4 2'
loop_
_atom_site_label
_atom_site_fract_x
_atom_site_fract_y
_atom_site_fract_z
Sc1 0.000 0.000 0.000
Co1 0.000 0.000 0.500
Ag1 0.500 0.500 0.000
Pt1 0.000 0.500 0.500

Entry 11:
# NdMg2Zn2Cu PBE relaxed
# formation energy from the elements	0.96	eV/f.u.
# ρ	4.59	g/cm³
# calculated volume	139.9	Å³/f.u.
data_NdMg2Zn2Cu
_cell_length_a 5.078
_cell_length_b 5.078
_cell_length_c 10.857
_cell_angle_alpha 90.00
_cell_angle_beta 90.00
_cell_angle_gamma 90.00
_space_group_name_H-M_alt 'I 4/m m m'
_space_group_IT_number 139
_space_group_name_Hall '-I 4 2'
loop_
_atom_site_label
_atom_site_fract_x
_atom_site_fract_y
_atom_site_fract_z
Nd1 0.000 0.000 0.000
Mg1 0.000 0.500 0.250
Zn1 0.000 0.000 0.286
Cu1 0.000 0.000 0.500

Entry 12:
# AlIn2C PBE relaxed
# formation energy from the elements	3.49	eV/f.u.
# ρ	4.86	g/cm³
# calculated volume	91.7	Å³/f.u.
data_AlIn2C
_cell_length_a 6.197
_cell_length_b 6.197
_cell_length_c 9.555
_cell_angle_alpha 90.00
_cell_angle_beta 90.00
_cell_angle_gamma 90.00
_space_group_name_H-M_alt 'I -4 2 d'
_space_group_IT_number 122
_space_group_name_Hall 'I -4 2bw'
loop_
_atom_site_label
_atom_site_fract_x
_atom_site_fract_y
_atom_site_fract_z
Al1 0.000 0.000 0.000
In1 0.165 0.250 0.625
C1 0.000 0.000 0.500

- Look up the ρ of the second one.
  11.17 g/cm³

Please write out number 4 again, unchanged.
# TbCdPt PBE relaxed
# formation energy from the elements	-2.56	eV/f.u.
# ρ	11.56	g/cm³
# calculated volume	67.0	Å³/f.u.
data_TbCdPt
_cell_length_a 13.208
_cell_length_b 3.929
_cell_length_c 7.745
_cell_angle_alpha 90.00
_cell_angle_beta 90.00
_cell_angle_gamma 90.00
_space_group_name_H-M_alt 'P m m a'
_space_group_IT_number 51
loop_
_space_group_symop_operation_xyz
'x,y,z'
'-x,-y,-z'
'-x+1/2,-y,z'
'x+1/2,y,-z'
'x+1/2,-y,-z'
'-x+1/2,y,z'
'-x,y,-z'
'x,-y,z'
loop_
_atom_site_label
_atom_site_fract_x
_atom_site_fract_y
_atom_site_fract_z
Tb1 0.050 0.000 0.221
Tb2 0.250 0.000 0.822
Cd1 0.111 0.500 0.558
Cd2 0.250 0.500 0.183
Pt1 0.097 0.500 0.927
Pt2 0.250 0.000 0.437

- Among the records above, which one has the lowest ρ?
  K3Zr